1.
An optimized crystal structure of Np2CuRh9. Source: the Alexandria database, functional PBE.

a = 3.9824 Å, b = 3.9824 Å, c = 11.7486 Å
α = 90.00°, β = 90.00°, γ = 90.00°
Last column: magnetic moment on the atom in μB.
Element x y z (fractional)
Cu (0.0000, 0.0000, 0.0000)  0.01
Rh (0.5000, 0.0000, 0.8431)  -0.19
Rh (0.5000, 0.5000, 0.0000)  0.06
Rh (0.5000, 0.5000, 0.6715)  -0.27
Rh (0.5000, 0.5000, 0.3285)  -0.27
Rh (0.0000, 0.5000, 0.8431)  -0.19
Rh (0.0000, 0.5000, 0.1569)  -0.19
Rh (0.0000, 0.5000, 0.5000)  -0.31
Rh (0.5000, 0.0000, 0.1569)  -0.19
Rh (0.5000, 0.0000, 0.5000)  -0.31
Np (0.0000, 0.0000, 0.3251)  2.43
Np (0.0000, 0.0000, 0.6749)  2.43

Results
* magnetization: 3.185 Bohr magnetons per cell
* N(E_F): 23.4 states/eV/cell
* formation energy from the elements: -0.238 eV per atom

2.
An optimized crystal structure of YMn3Fe. Source: the Alexandria database, functional PBE.

a = 4.4098 Å, b = 4.4098 Å, c = 4.4098 Å
α = 90.00°, β = 90.00°, γ = 90.00°
Last column: magnetic moment on the atom in μB.
Element x y z (fractional)
Fe (0.5000, 0.5000, 0.5000)  0.19
Mn (0.0000, 0.5000, 0.0000)  -0.09
Mn (0.5000, 0.0000, 0.0000)  -0.05
Mn (0.0000, 0.0000, 0.5000)  -0.11
Y (0.0000, 0.0000, 0.0000)  0.01

Results
* energy relative to the lowest polymorph listed for this composition: 2.1932 eV per atom
* magnetization: 0.071 Bohr magnetons per cell
* N(E_F): 15.7 states/eV/cell
* formation energy from the elements: 2.765 eV per atom

3.
An optimized crystal structure of CeY6Ho4. Source: the Alexandria database, functional PBE.

a = 5.7082 Å, b = 5.6015 Å, c = 25.7488 Å
α = 90.00°, β = 90.00°, γ = 120.63°
Last column: magnetic moment on the atom in μB.
Element x y z (fractional)
Y (0.8130, 0.6261, 0.1017)  0.01
Y (0.1444, 0.2888, 0.1808)  -0.01
Y (0.5194, 0.0388, 0.7500)  0.04
Y (0.8556, 0.7112, 0.8192)  -0.01
Y (0.1444, 0.2888, 0.3192)  -0.01
Y (0.1870, 0.3739, 0.6017)  0.01
Y (0.5000, 0.0000, 0.0000)  0.00
Y (0.8130, 0.6261, 0.3983)  0.01
Y (0.4806, 0.9612, 0.2500)  0.04
Y (0.1870, 0.3739, 0.8983)  0.01
Y (0.5000, 0.0000, 0.5000)  0.00
Y (0.8556, 0.7112, 0.6808)  -0.01
Ho (0.5259, 0.0519, 0.6216)  0.01
Ho (0.1588, 0.3177, 0.0414)  0.01
Ho (0.8412, 0.6823, 0.9586)  0.01
Ho (0.8412, 0.6823, 0.5414)  0.01
Ho (0.5259, 0.0519, 0.8784)  0.01
Ho (0.1588, 0.3177, 0.4586)  0.01
Ho (0.4741, 0.9481, 0.3784)  0.01
Ho (0.4741, 0.9481, 0.1216)  0.01
Ce (0.8142, 0.6283, 0.2500)  0.70
Ce (0.1858, 0.3717, 0.7500)  0.70

Results
* magnetization: 1.789 Bohr magnetons per cell
* N(E_F): 46.5 states/eV/cell
* formation energy from the elements: 0.144 eV per atom

4.
An optimized crystal structure of SrPb3Au2. Source: the Alexandria database, functional PBE.

a = 4.5176 Å, b = 9.4580 Å, c = 9.4805 Å
α = 61.25°, β = 76.22°, γ = 76.18°
Element x y z (fractional)
Pb (0.9994, 0.3425, 0.6588)
Pb (0.3274, 0.8717, 0.4734)
Pb (0.6726, 0.1283, 0.5266)
Pb (0.6730, 0.5256, 0.1284)
Pb (0.0006, 0.6575, 0.3412)
Pb (0.3270, 0.4744, 0.8716)
Sr (0.1300, 0.8702, 0.8698)
Sr (0.8700, 0.1298, 0.1302)
Au (0.4998, 0.1447, 0.8556)
Au (0.2054, 0.2938, 0.2953)
Au (0.5002, 0.8553, 0.1444)
Au (0.7946, 0.7062, 0.7047)

Results
* magnetization: 0.000 Bohr magnetons per cell
* N(E_F): 5.1 states/eV/cell
* formation energy from the elements: -0.329 eV per atom

5.
An optimized crystal structure of PuTaPd. Source: the Alexandria database, functional PBE.

a = 3.2468 Å, b = 3.2468 Å, c = 9.7242 Å
α = 90.00°, β = 90.00°, γ = 90.00°
Element x y z (fractional)
Pu (0.0000, 0.5000, 0.5542)
Pu (0.5000, 0.0000, 0.4458)
Pd (0.5000, 0.0000, 0.0865)
Pd (0.0000, 0.5000, 0.9135)
Ta (0.0000, 0.5000, 0.2333)
Ta (0.5000, 0.0000, 0.7667)

Results
* energy relative to the lowest polymorph listed for this composition: 0.0353 eV per atom
* magnetization: 0.000 Bohr magnetons per cell
* N(E_F): 6.7 states/eV/cell
* formation energy from the elements: -0.055 eV per atom

6.
An optimized crystal structure of SnHgIN2. Source: the Alexandria database, functional PBE.

a = 4.1605 Å, b = 4.1605 Å, c = 7.0951 Å
α = 90.00°, β = 90.00°, γ = 90.00°
Element x y z (fractional)
N (0.0000, 0.5000, 0.0000)
N (0.5000, 0.0000, 0.0000)
Sn (0.0000, 0.0000, 0.0000)
I (0.0000, 0.0000, 0.5000)
Hg (0.5000, 0.5000, 0.5000)

Results
* energy relative to the lowest polymorph listed for this composition: 0.0000 eV per atom
* magnetization: 0.006 Bohr magnetons per cell
* formation energy without anion corrections: 1236 meV/atom
* N(E_F): 4.6 states/eV/cell

7.
An optimized crystal structure of SiMoSe2. Source: the Alexandria database, functional PBE.

a = 8.1604 Å, b = 8.1604 Å, c = 8.1604 Å
α = 23.80°, β = 23.80°, γ = 23.80°
Element x y z (fractional)
Si (0.5000, 0.5000, 0.5000)
Mo (0.0000, 0.0000, 0.0000)
Se (0.8970, 0.8970, 0.8970)
Se (0.1030, 0.1030, 0.1030)

Results
* magnetization: 0.000 Bohr magnetons per cell
* formation energy without anion corrections: 451 meV/atom
* N(E_F): 3.0 states/eV/cell

8.
An optimized crystal structure of BaAcPd3. Source: the Alexandria database, functional PBE.

a = 4.5919 Å, b = 4.3833 Å, c = 13.7716 Å
α = 99.16°, β = 90.00°, γ = 90.00°
Element x y z (fractional)
Pd (0.7500, 0.5257, 0.0514)
Pd (0.2500, 0.6843, 0.3687)
Pd (0.7500, 0.6246, 0.2492)
Pd (0.2500, 0.4743, 0.9486)
Pd (0.7500, 0.3157, 0.6313)
Pd (0.2500, 0.3754, 0.7508)
Ac (0.2500, 0.7984, 0.5968)
Ac (0.7500, 0.2016, 0.4032)
Ba (0.2500, 0.0698, 0.1396)
Ba (0.7500, 0.9302, 0.8604)

Results
* energy relative to the lowest polymorph listed for this composition: 0.0000 eV per atom
* magnetization: 0.000 Bohr magnetons per cell
* N(E_F): 4.4 states/eV/cell
* formation energy from the elements: -0.657 eV per atom

9.
An optimized crystal structure of Ce2SF. Source: the Alexandria database, functional PBE.

a = 3.8466 Å, b = 3.8466 Å, c = 6.5934 Å
α = 73.04°, β = 73.04°, γ = 60.00°
Last column: magnetic moment on the atom in μB.
Element x y z (fractional)
F (0.5000, 0.5000, 0.5000)  0.00
Ce (0.2451, 0.2451, 0.2647)  0.59
Ce (0.7549, 0.7549, 0.7353)  0.59
S (0.0000, 0.0000, 0.0000)  -0.02

Results
* energy relative to the lowest polymorph listed for this composition: 0.0000 eV per atom
* magnetization: 1.366 Bohr magnetons per cell
* formation energy without anion corrections: -2145 meV/atom
* N(E_F): 9.8 states/eV/cell

10.
An optimized crystal structure of Cr4CuPt. Source: the Alexandria database, functional PBE.

a = 4.7381 Å, b = 4.7381 Å, c = 4.7381 Å
α = 60.00°, β = 60.00°, γ = 60.00°
Element x y z (fractional)
Cr (0.3781, 0.3781, 0.8656)
Cr (0.3781, 0.8656, 0.3781)
Cr (0.8656, 0.3781, 0.3781)
Cr (0.3781, 0.3781, 0.3781)
Pt (0.0000, 0.0000, 0.0000)
Cu (0.7500, 0.7500, 0.7500)

Results
* magnetization: 0.000 Bohr magnetons per cell
* N(E_F): 5.6 states/eV/cell
* formation energy from the elements: 0.131 eV per atom

11.
An optimized crystal structure of UCdP2. Source: the Alexandria database, functional PBE.

a = 3.5609 Å, b = 4.5415 Å, c = 4.5415 Å
α = 90.00°, β = 90.00°, γ = 90.00°
Last column: magnetic moment on the atom in μB.
Element x y z (fractional)
P (0.0000, 0.5000, 0.0000)  -0.05
P (0.0000, 0.0000, 0.5000)  -0.05
Cd (0.5000, 0.5000, 0.5000)  0.01
U (0.5000, 0.0000, 0.0000)  1.40

Results
* energy relative to the lowest polymorph listed for this composition: 0.0000 eV per atom
* magnetization: 1.397 Bohr magnetons per cell
* N(E_F): 4.1 states/eV/cell
* formation energy from the elements: -0.453 eV per atom

12.
An optimized crystal structure of TaN3Cl. Source: the Alexandria database, functional PBE.

a = 4.1171 Å, b = 4.1171 Å, c = 4.1171 Å
α = 90.00°, β = 90.00°, γ = 90.00°
Last column: magnetic moment on the atom in μB.
Element x y z (fractional)
N (0.5000, 0.0000, 0.0000)  0.22
N (0.0000, 0.0000, 0.5000)  0.42
N (0.0000, 0.5000, 0.0000)  0.32
Cl (0.5000, 0.5000, 0.5000)  -0.10
Ta (0.0000, 0.0000, 0.0000)  -0.14

Results
* magnetization: 1.086 Bohr magnetons per cell
* formation energy without anion corrections: 1020 meV/atom
* N(E_F): 4.0 states/eV/cell

> Which of these has the highest N(E_F)?

CeY6Ho4